! Na2MnSbF6 GGA+U relaxed; values from VASP
! total energy = -49.05 eV per cell
&SYSTEM
  ibrav = 0, nat = 10, ntyp = 4
/
ATOMIC_SPECIES
Na 22.99 Na.upf
Mn 54.94 Mn.upf
Sb 121.76 Sb.upf
F 19.00 F.upf
CELL_PARAMETERS angstrom
2.986 1.724 4.949
-2.986 1.724 4.949
0.000 -3.447 4.949
ATOMIC_POSITIONS angstrom
Na 0.000 0.000 0.000
Na 0.000 0.000 6.936
Mn 0.000 0.000 10.277
Sb 0.000 0.000 3.434
F -1.098 -1.822 6.144
F -1.695 -0.019 8.695
F -1.029 1.862 6.144
F 0.864 -1.458 8.695
F 2.127 -0.039 6.144
F 0.831 1.478 8.695